Entry 1:
Below is a relaxed structure of SrMgCr4, with properties calculated at the PBE-GGA level.

theoretical density: 5.4 Mg/m³
total magnetization: 0.00 μB per atom
V: 16.36 Å³ per atom
energy of formation from the pure elements: 80.4 kJ per mole of atoms
E: -0.4505 Ry/atom

abc: 7.323 7.323 7.323
angles: 90.00 90.00 90.00
Space group F-43m (No. 216)
Unique sites:
Sr: 0.000 0.000 0.000 x4
Mg: 0.250 0.250 0.250 x4
Cr: 0.126 0.126 0.626 x16

Entry 2:
Below is a relaxed structure of SrMgCr2, with properties calculated at the PBE-GGA level.

theoretical density: 4.9 Mg/m³
total magnetization: 0.00 μB per atom
V: 18.14 Å³ per atom
energy of formation from the pure elements: 116.7 kJ per mole of atoms
E: -0.3250 Ry/atom

abc: 3.878 3.894 9.609
angles: 90.00 90.00 90.00
Space group Cmmm (No. 65)
Unique sites:
Sr: 0.000 0.000 0.000 x2
Mg: 0.000 0.000 0.500 x2
Cr: 0.000 0.500 0.278 x4

Entry 3:
Below is a relaxed structure of SrMgCr2, with properties calculated at the PBE-GGA level.

theoretical density: 3.6 Mg/m³
total magnetization: 2.14 μB per atom
V: 24.97 Å³ per atom
energy of formation from the pure elements: 79.2 kJ per mole of atoms
E: -0.3535 Ry/atom

abc: 4.846 4.846 4.253
angles: 90.00 90.00 90.00
Space group P4/mmm (No. 123)
Unique sites:
Sr: 0.000 0.000 0.000 x1
Mg: 0.500 0.500 0.000 x1
Cr: 0.000 0.500 0.500 x2

Entry 4:
Below is a relaxed structure of SrMgCr2, with properties calculated at the PBE-GGA level.

theoretical density: 3.5 Mg/m³
total magnetization: 2.18 μB per atom
V: 25.26 Å³ per atom
energy of formation from the pure elements: 80.7 kJ per mole of atoms
E: -0.3524 Ry/atom

abc: 7.394 7.394 7.394
angles: 90.00 90.00 90.00
Space group F-43m (No. 216)
Unique sites:
Sr: 0.000 0.000 0.000 x4
Mg: 0.250 0.250 0.750 x4
Cr: 0.000 0.000 0.500 x4
Cr: 0.250 0.250 0.250 x4